Record 1
VASP calculation (PBE) on an optimized crystal structure of Na2Hg7Pb.

Structure (extended XYZ):
```
10
Lattice="5.027 0.000 0.000 -2.514 4.354 0.000 0.000 0.000 13.070" Properties=species:S:1:pos:R:3 pbc="T T T"
Na 2.514 1.451 4.299
Na 0.000 2.903 8.383
Hg 0.000 2.903 5.374
Hg 0.000 2.903 2.157
Hg 0.000 0.000 3.264
Hg 0.000 0.000 6.736
Hg 2.514 1.451 9.926
Hg 2.514 1.451 0.840
Hg 0.000 2.903 11.434
Pb 0.000 0.000 12.719
```

Calculated values
ΔH_f (0 K) ... -0.0944 eV per atom

***

Record 2
VASP calculation (PBE) on an optimized crystal structure of AuSe2Br.

Structure (extended XYZ):
```
4
Lattice="-5.425 -0.342 -5.035 -5.610 -3.736 -3.076 -7.227 -0.502 -1.553" Properties=species:S:1:pos:R:3 pbc="T T T"
Au -4.565 -1.145 -2.416
Br -13.696 -3.435 -7.248
Se -17.903 -4.490 -9.474
Se -9.489 -2.380 -5.022
```

Calculated values
Formation energy (no corrections) ... 0.031 eV/atom

***

Record 3
VASP calculation (PBE) on an optimized crystal structure of UW.

Structure (extended XYZ):
```
4
Lattice="3.427 0.000 0.000 0.000 3.225 0.281 0.000 -0.688 6.631" Properties=species:S:1:pos:R:3 pbc="T T T"
U 0.857 0.255 4.094
U 2.570 2.282 2.818
W 0.857 0.757 0.806
W 2.570 1.780 6.106
```

Calculated values
ΔH_f (0 K) ... 0.2121 eV per atom

***

Record 4
VASP calculation (PBE) on an optimized crystal structure of Tl2Ga2HgBi2.

Structure (extended XYZ):
```
7
Lattice="5.339 0.000 0.000 0.000 5.339 0.000 -2.669 -2.669 7.955" Properties=species:S:1:pos:R:3 pbc="T T T"
Tl 0.000 0.000 3.050
Tl 2.669 2.669 4.905
Ga 0.000 2.669 0.000
Ga 2.669 0.000 0.000
Hg 0.000 0.000 0.000
Bi 0.000 0.000 6.282
Bi 2.669 2.669 1.673
```

Calculated values
ΔH_f (0 K) ... 0.1677 eV per atom

***

Record 5
VASP calculation (PBE) on an optimized crystal structure of CaAc4Sm6.

Structure (extended XYZ):
```
11
Lattice="7.741 -2.498 -5.307 -5.210 8.082 1.367 -1.610 2.498 9.246" Properties=species:S:1:pos:R:3 pbc="T T T"
Ca 0.000 0.000 0.000
Ac -3.248 5.038 0.949
Ac 0.435 3.044 1.958
Ac -1.055 1.637 5.748
Ac -2.031 8.943 7.265
Sm -4.636 7.192 5.106
Sm -3.510 5.445 7.571
Sm -1.392 5.134 4.275
Sm 1.266 2.792 -1.970
Sm 3.639 0.890 -1.032
Sm 3.065 0.000 1.970
```

Calculated values
ΔH_f (0 K) ... 0.2826 eV per atom

***

Record 6
VASP calculation (PBE) on an optimized crystal structure of ZnCr2Tc.

Structure (extended XYZ):
```
4
Lattice="-1.241 -2.966 3.324 3.518 -0.916 2.860 -1.849 3.934 -1.579" Properties=species:S:1:pos:R:3 pbc="T T T"
Cr 0.000 0.000 0.000
Cr 1.403 0.538 2.186
Tc 1.138 -1.941 3.092
Zn -0.976 -0.487 2.419
```

Calculated values
ΔH_f (0 K) ... 0.2439 eV per atom

***

The records above give, respectively, uncorrected energy values of -0.940 -2.949 -11.909 -2.525 -3.967 -7.478 eV/atom.